# 1
GGA-PBE Mo2PtSe, relaxed; ΔE_f (raw) = 0.26 eV/atom; DFT total energy = -7.536 eV per atom; crystal system = monoclinic; volume = 64.4 Å³/cell
1.0
2.678 -4.202 0.000
2.678 4.202 0.000
-0.577 0.000 2.863
Mo Pt Se
2 1 1
Direct
0.000 0.500 0.000
0.500 0.000 0.000
0.000 0.000 0.500
0.500 0.500 0.500



# 2
GGA-PBE LiPb, relaxed; formation energy from the elements = -0.23 eV per atom; DFT total energy = -3.038 eV per atom; crystal system = monoclinic; volume = 93.2 Å³/cell
1.0
5.545 -1.774 0.000
5.545 1.774 0.000
-1.417 0.000 4.735
Li Pb
2 2
Direct
0.128 0.128 0.344
0.872 0.872 0.656
0.385 0.385 0.166
0.615 0.615 0.834



# 3
GGA-PBE CdCoTc, relaxed; formation energy from the elements = 0.59 eV per atom; DFT total energy = -5.534 eV per atom; crystal system = cubic; volume = 49.2 Å³/cell; energy relative to the lowest polymorph listed for this composition = 0.371 eV per atom
1.0
0.000 2.909 2.909
2.909 0.000 2.909
2.909 2.909 0.000
Cd Co Tc
1 1 1
Direct
0.000 0.000 0.000
0.750 0.750 0.750
0.500 0.500 0.500



# 4
GGA-PBE ReIrS2N, relaxed; ΔE_f (raw) = 1.23 eV/atom; DFT total energy = -6.351 eV per atom; crystal system = tetragonal; volume = 84.8 Å³/cell; energy relative to the lowest polymorph listed for this composition = 0.260 eV per atom
1.0
4.839 0.000 0.000
0.000 4.839 0.000
0.000 0.000 3.621
Re Ir S N
1 1 2 1
Direct
0.000 0.000 0.000
0.500 0.500 0.500
0.000 0.500 0.500
0.500 0.000 0.500
0.500 0.500 0.000



# 5
GGA-PBE Pr6Ge2N, relaxed; ΔE_f (raw) = -0.50 eV/atom; DFT total energy = -5.638 eV per atom; crystal system = tetragonal; volume = 566.2 Å³/cell; energy relative to the lowest polymorph listed for this composition = 0.176 eV per atom
1.0
6.767 0.000 0.000
0.000 6.767 0.000
0.000 0.000 12.366
Pr Ge N
12 4 2
Direct
0.193 0.193 0.145
0.193 0.193 0.855
0.225 0.225 0.500
0.275 0.725 0.000
0.307 0.693 0.355
0.307 0.693 0.645
0.693 0.307 0.355
0.693 0.307 0.645
0.725 0.275 0.000
0.775 0.775 0.500
0.807 0.807 0.145
0.807 0.807 0.855
0.000 0.000 0.331
0.000 0.000 0.669
0.500 0.500 0.169
0.500 0.500 0.831
0.000 0.000 0.000
0.500 0.500 0.500



# 6
GGA-PBE CaCdGa2Ag5, relaxed; formation energy from the elements = -0.04 eV per atom; DFT total energy = -2.619 eV per atom; crystal system = tetragonal; volume = 187.8 Å³/cell
1.0
4.923 0.000 0.000
0.000 4.923 0.000
0.000 0.000 7.748
Ca Cd Ga Ag
1 1 2 5
Direct
0.000 0.000 0.000
0.000 0.000 0.500
0.500 0.500 0.343
0.500 0.500 0.657
0.000 0.500 0.236
0.000 0.500 0.764
0.500 0.000 0.236
0.500 0.000 0.764
0.500 0.500 0.000



# 7
GGA-PBE CsBeAs, relaxed; formation energy from the elements = -0.43 eV per atom; DFT total energy = -3.502 eV per atom; crystal system = triclinic; volume = 179.1 Å³/cell
1.0
3.898 0.000 0.000
-0.019 6.763 0.000
-1.927 -2.084 6.796
Cs Be As
2 2 2
Direct
0.089 0.311 0.184
0.911 0.689 0.816
0.216 0.926 0.433
0.784 0.074 0.567
0.357 0.191 0.714
0.643 0.809 0.286



# 8
GGA-PBE LiCrAs, relaxed; formation energy from the elements = -0.22 eV per atom; DFT total energy = -5.618 eV per atom; crystal system = cubic; volume = 53.8 Å³/cell
1.0
0.000 2.996 2.996
2.996 0.000 2.996
2.996 2.996 0.000
Li Cr As
1 1 1
Direct
0.000 0.000 0.000
0.500 0.500 0.500
0.750 0.750 0.750



# 9
GGA-PBE AgPd8Au3, relaxed; formation energy from the elements = 0.10 eV per atom; DFT total energy = -4.415 eV per atom; crystal system = trigonal; volume = 203.2 Å³/cell
1.0
5.218 0.000 0.000
-2.609 4.519 0.000
0.000 0.000 8.620
Ag Pd Au
1 8 3
Direct
0.000 0.000 0.000
0.164 0.327 0.686
0.164 0.836 0.686
0.333 0.667 0.435
0.333 0.667 0.936
0.503 0.007 0.186
0.503 0.497 0.186
0.673 0.836 0.686
0.993 0.497 0.186
0.000 0.000 0.374
0.667 0.333 0.500
0.667 0.333 0.874



# 10
GGA-PBE RbPtF2, relaxed; ΔE_f (raw) = -0.73 eV/atom; DFT total energy = -3.421 eV per atom; crystal system = cubic; volume = 68.4 Å³/cell; energy relative to the lowest polymorph listed for this composition = 0.643 eV per atom
1.0
0.000 3.246 3.246
3.246 0.000 3.246
3.246 3.246 0.000
Rb Pt F
1 1 2
Direct
0.000 0.000 0.000
0.500 0.500 0.500
0.250 0.250 0.250
0.750 0.750 0.750



# 11
GGA-PBE OsN3Cl, relaxed; ΔE_f (raw) = 1.36 eV/atom; DFT total energy = -6.251 eV per atom; crystal system = cubic; volume = 59.4 Å³/cell
1.0
3.902 0.000 0.000
0.000 3.902 0.000
0.000 0.000 3.902
Os N Cl
1 3 1
Direct
0.000 0.000 0.000
0.000 0.000 0.500
0.000 0.500 0.000
0.500 0.000 0.000
0.500 0.500 0.500



# 12
GGA-PBE CuSiB, relaxed; ΔE_f (raw) = 0.20 eV/atom; DFT total energy = -5.194 eV per atom; crystal system = orthorhombic; volume = 130.7 Å³/cell
1.0
7.078 0.000 0.000
0.000 3.612 0.000
0.000 0.000 5.113
Cu Si B
4 4 4
Direct
0.123 0.250 0.026
0.377 0.750 0.526
0.623 0.250 0.474
0.877 0.750 0.974
0.143 0.250 0.518
0.357 0.750 0.018
0.643 0.250 0.982
0.857 0.750 0.482
0.117 0.750 0.292
0.383 0.250 0.792
0.617 0.750 0.208
0.883 0.250 0.708



# 13
GGA-PBE Rb2ErPuO6, relaxed; ΔE_f (raw) = -2.54 eV/atom; DFT total energy = -7.599 eV per atom; crystal system = cubic; volume = 159.8 Å³/cell
1.0
0.000 4.307 4.307
4.307 0.000 4.307
4.307 4.307 0.000
Rb Er Pu O
2 1 1 6
Direct
0.250 0.250 0.250
0.750 0.750 0.750
0.000 0.000 0.000
0.500 0.500 0.500
0.264 0.264 0.736
0.264 0.736 0.264
0.264 0.736 0.736
0.736 0.264 0.264
0.736 0.264 0.736
0.736 0.736 0.264



# 14
GGA-PBE AlAg2Os, relaxed; formation energy from the elements = 0.37 eV per atom; DFT total energy = -4.794 eV per atom; crystal system = trigonal; volume = 63.8 Å³/cell
1.0
1.405 0.811 9.326
-1.405 0.811 9.326
0.000 -1.622 9.326
Al Ag Os
1 2 1
Direct
0.000 0.000 0.000
0.253 0.253 0.253
0.747 0.747 0.747
0.500 0.500 0.500



# 15
GGA-PBE KReAs3, relaxed; formation energy from the elements = 0.25 eV per atom; DFT total energy = -5.244 eV per atom; crystal system = cubic; volume = 121.8 Å³/cell
1.0
4.958 0.000 0.000
0.000 4.958 0.000
0.000 0.000 4.958
K Re As
1 1 3
Direct
0.000 0.000 0.000
0.500 0.500 0.500
0.000 0.500 0.500
0.500 0.000 0.500
0.500 0.500 0.000



# 16
GGA-PBE RbHgAs, relaxed; formation energy from the elements = -0.34 eV per atom; DFT total energy = -2.318 eV per atom; crystal system = trigonal; volume = 102.0 Å³/cell
1.0
4.635 0.000 0.000
-2.317 4.014 0.000
0.000 0.000 5.485
Rb Hg As
1 1 1
Direct
0.000 0.000 0.000
0.667 0.333 0.501
0.333 0.667 0.500



# 17
GGA-PBE PrTm4Th2, relaxed; formation energy from the elements = 0.82 eV per atom; DFT total energy = -4.541 eV per atom; crystal system = tetragonal; volume = 257.3 Å³/cell; energy relative to the lowest polymorph listed for this composition = 0.728 eV per atom
1.0
-2.789 2.789 8.267
2.789 -2.789 8.267
2.789 2.789 -8.267
Pr Tm Th
1 4 2
Direct
0.000 0.000 0.000
0.000 0.500 0.500
0.179 0.179 0.000
0.500 0.000 0.500
0.821 0.821 0.000
0.387 0.387 0.000
0.613 0.613 0.000



# 18
GGA-PBE Tl2SnHg2, relaxed; formation energy from the elements = 0.06 eV per atom; DFT total energy = -1.811 eV per atom; crystal system = tetragonal; volume = 293.4 Å³/cell; energy relative to the lowest polymorph listed for this composition = 0.023 eV per atom
1.0
7.969 0.000 0.000
0.000 7.969 0.000
0.000 0.000 4.620
Tl Sn Hg
4 2 4
Direct
0.168 0.332 0.000
0.332 0.832 0.000
0.668 0.168 0.000
0.832 0.668 0.000
0.000 0.000 0.500
0.500 0.500 0.500
0.137 0.637 0.500
0.363 0.137 0.500
0.637 0.863 0.500
0.863 0.363 0.500



# 19
GGA-PBE KNaFeCl2, relaxed; ΔE_f (raw) = -0.24 eV/atom; DFT total energy = -3.156 eV per atom; crystal system = tetragonal; volume = 150.6 Å³/cell
1.0
4.881 0.000 0.000
0.000 4.881 0.000
0.000 0.000 6.320
K Na Fe Cl
1 1 1 2
Direct
0.000 0.000 0.000
0.500 0.500 0.000
0.000 0.000 0.500
0.000 0.500 0.500
0.500 0.000 0.500



# 20
GGA-PBE LaSbAs2Se, relaxed; ΔE_f (raw) = -0.16 eV/atom; DFT total energy = -4.526 eV per atom; crystal system = tetragonal; volume = 144.9 Å³/cell; energy relative to the lowest polymorph listed for this composition = 0.000 eV per atom
1.0
5.200 0.000 0.000
0.000 5.200 0.000
0.000 0.000 5.358
La Sb As Se
1 1 2 1
Direct
0.000 0.000 0.000
0.500 0.500 0.500
0.000 0.500 0.500
0.500 0.000 0.500
0.500 0.500 0.000